(1)
Material: UTl4S5
Method: DFT, PBE
State: optimized geometry

It has space group I4 (No. 79), with a = 9.877 Å, b = 9.877 Å, c = 5.803 Å, α = 90.00°, β = 90.00° and γ = 90.00°. The asymmetric unit holds U at (0.000, 0.000, 0.000), Tl at (0.089, 0.314, 0.503), S at (0.000, 0.000, 0.506) and S at (0.106, 0.231, 0.002).

The value obtained for the spin magnetization is 0.001 μB/f.u. The raw total energy is -4.84 eV/atom.


(2)
Material: Zr4Ge3
Method: DFT, PBE
State: optimized geometry

It has space group P6_3/m (No. 176), with a = 8.0363 Å, b = 8.0363 Å, c = 5.0356 Å, α = 90.00°, β = 90.00° and γ = 120.00°. The asymmetric unit holds Zr at (0.0078, 0.7637, 0.2500), Zr at (0.3333, 0.6667, 0.2500) and Ge at (0.0625, 0.6178, 0.7500).

The value obtained for the spin magnetization is 0.001 μB/f.u. The calculation puts the relative energy among the computed polymorphs at 0.000 eV/atom. The raw total energy is -7.32 eV/atom.